The following is a PBE calculation of a geometry-optimized TlGaHg structure, from Alexandria.

- Density: 10.19 g cm⁻³
- Formation enthalpy at 0 K: 0.115 eV per atom
- Total magnetization: 0.000 μB per formula unit

abc: 5.336 5.336 6.274
angles: 90.00 90.00 120.00
Fractional positions:
Tl  0.667  0.333  0.250
Tl  0.333  0.667  0.750
Ga  0.333  0.667  0.250
Ga  0.667  0.333  0.750
Hg  0.000  0.000  0.000
Hg  0.000  0.000  0.500